Below is SbMoPtS2 at its PBEsol-relaxed geometry, with properties calculated at the SCAN level.

Structure (extended XYZ):
```
5
Lattice="4.914 0.000 0.000 0.000 4.914 0.000 0.000 0.000 4.907" Properties=species:S:1:pos:R:3 pbc="T T T"
Sb 0.000 0.000 0.000
Mo 2.457 2.457 2.454
Pt 0.000 0.000 2.454
S 0.000 2.457 0.000
S 2.457 0.000 0.000
```

The formation energy without anion corrections comes out at 1.111 eV per atom. The crystal system is tetragonal. The total energy is -31.21 eV/atom. As for the total moment: 3.64 μB per formula unit.

Below is ScMoPt4 at its PBEsol-relaxed geometry, with properties calculated at the SCAN level.

Structure (extended XYZ):
```
6
Lattice="0.000 3.670 3.670 3.670 0.000 3.670 3.670 3.670 0.000" Properties=species:S:1:pos:R:3 pbc="T T T"
Sc 0.000 0.000 0.000
Mo 1.835 1.835 1.835
Pt 4.585 2.755 2.755
Pt 2.755 4.585 2.755
Pt 2.755 2.755 4.585
Pt 4.585 4.585 4.585
```

The crystal system is cubic. The total energy is -55.47 eV/atom. As for the total moment: 2.87 μB per formula unit. The calculation puts the formation energy at -2.9 eV/f.u.

Below is ScMoPt2 at its PBEsol-relaxed geometry, with properties calculated at the SCAN level.

Structure (extended XYZ):
```
4
Lattice="2.797 -3.976 0.000 2.797 3.976 0.000 0.000 0.000 2.802" Properties=species:S:1:pos:R:3 pbc="T T T"
Sc 0.000 0.000 0.000
Mo 2.797 0.000 0.000
Pt 1.398 1.988 1.401
Pt 1.398 -1.988 1.401
```

The crystal system is orthorhombic. The total energy is -48.16 eV/atom. As for the total moment: 0.00 μB per formula unit. The calculation puts the formation energy at -3.1 eV/f.u.

Below is TaMo2PtSe at its PBEsol-relaxed geometry, with properties calculated at the SCAN level.

Structure (extended XYZ):
```
5
Lattice="4.737 0.000 0.000 0.000 4.737 0.000 0.000 0.000 4.684" Properties=species:S:1:pos:R:3 pbc="T T T"
Ta 0.000 0.000 0.000
Mo 0.000 2.368 0.000
Mo 2.368 0.000 0.000
Pt 2.368 2.368 2.342
Se 0.000 0.000 2.342
```

The formation energy without anion corrections comes out at 1.760 eV per atom. The crystal system is tetragonal. The total energy is -43.57 eV/atom. As for the total moment: 2.20 μB per formula unit.

Below is Si4MoPt3 at its PBEsol-relaxed geometry, with properties calculated at the SCAN level.

Structure (extended XYZ):
```
32
Lattice="5.498 0.000 0.000 0.000 3.490 0.000 0.000 0.000 24.302" Properties=species:S:1:pos:R:3 pbc="T T T"
Si 0.883 0.873 2.662
Si 0.921 0.873 17.640
Si 0.984 0.873 11.671
Si 0.983 0.873 20.755
Si 1.766 2.618 8.604
Si 1.765 2.618 23.822
Si 1.828 2.618 5.489
Si 1.866 2.618 14.813
Si 3.633 0.873 9.489
Si 3.670 0.873 18.813
Si 3.733 0.873 0.480
Si 3.732 0.873 15.699
Si 4.515 2.618 3.547
Si 4.514 2.618 12.632
Si 4.577 2.618 6.662
Si 4.615 2.618 21.640
Mo 0.034 0.873 5.108
Mo 2.715 2.618 17.259
Mo 2.783 0.873 7.043
Mo 5.464 2.618 19.194
Pt 0.002 0.873 13.972
Pt 5.497 0.873 23.137
Pt 0.001 2.618 1.166
Pt 5.496 2.618 10.330
Pt 0.032 0.873 8.026
Pt 2.717 2.618 20.177
Pt 2.748 0.873 13.317
Pt 2.751 0.873 22.481
Pt 2.747 2.618 1.821
Pt 2.750 2.618 10.985
Pt 2.781 0.873 4.125
Pt 5.466 2.618 16.276
```

The formation energy without anion corrections comes out at -0.738 eV per atom. The crystal system is orthorhombic. The total energy is -36.43 eV/atom. As for the total moment: 0.00 μB per formula unit.

Below is Si2MoPt at its PBEsol-relaxed geometry, with properties calculated at the SCAN level.

Structure (extended XYZ):
```
4
Lattice="0.000 3.068 3.068 3.068 0.000 3.068 3.068 3.068 0.000" Properties=species:S:1:pos:R:3 pbc="T T T"
Si 0.000 0.000 0.000
Si 1.534 1.534 1.534
Mo 3.068 3.068 3.068
Pt 4.602 4.602 4.602
```

The formation energy without anion corrections comes out at 0.221 eV per atom. The crystal system is cubic. The total energy is -31.06 eV/atom. As for the total moment: 0.00 μB per formula unit.

Below is SiMo2Pt at its PBEsol-relaxed geometry, with properties calculated at the SCAN level.

Structure (extended XYZ):
```
4
Lattice="2.529 -4.150 0.000 2.529 4.150 0.000 0.000 0.000 2.753" Properties=species:S:1:pos:R:3 pbc="T T T"
Si 0.000 0.000 0.000
Mo 1.264 2.075 1.377
Mo 1.264 -2.075 1.377
Pt 2.529 0.000 0.000
```

The formation energy without anion corrections comes out at -0.214 eV per atom. The crystal system is orthorhombic. The total energy is -37.71 eV/atom. As for the total moment: 0.00 μB per formula unit.

Below is Si3MoPt2 at its PBEsol-relaxed geometry, with properties calculated at the SCAN level.

Structure (extended XYZ):
```
12
Lattice="3.490 0.000 0.000 0.000 9.131 0.000 0.000 0.000 5.460" Properties=species:S:1:pos:R:3 pbc="T T T"
Si 0.000 0.591 0.000
Si 0.000 2.534 2.670
Si 0.000 6.597 5.400
Si 0.000 8.540 2.730
Si 1.745 3.424 4.526
Si 1.745 5.708 1.795
Mo 1.745 0.958 3.676
Mo 1.745 8.173 0.946
Pt 0.000 4.271 0.915
Pt 0.000 4.860 3.645
Pt 1.745 1.952 0.948
Pt 1.745 7.179 3.679
```

The formation energy without anion corrections comes out at -0.716 eV per atom. The crystal system is orthorhombic. The total energy is -34.94 eV/atom. As for the total moment: 0.00 μB per formula unit.